#P
Zr2Sn2Bi: optimized geometry, PBE-GGA.

Values from the calculation:
**DOS(E_F)**: 10.7 states/eV/cell
**Magnetization**: 0.000 Bohr magnetons per cell
**Space-group type**: P4/mbm, No. 127
**Theoretical density**: 8.2 g cm⁻³
**Calculated volume**: 253.8 Å³/cell

a b c (Å): 8.112 8.112 3.857
angles (deg): 90.00 90.00 90.00
Fractional coordinates of all 10 atoms:
Bi1 0.500 0.500 0.000
Sn1 0.645 0.145 0.000
Zr1 0.854 0.354 0.500
Zr2 0.146 0.646 0.500
Sn2 0.145 0.355 0.000
Zr3 0.354 0.146 0.500
Zr4 0.646 0.854 0.500
Bi2 0.000 0.000 0.000
Sn3 0.855 0.645 0.000
Sn4 0.355 0.855 0.000

#Q
Zr2Sn2Bi: optimized geometry, PBE-GGA.

Values from the calculation:
**DOS(E_F)**: 9.8 states/eV/cell
**Magnetization**: 0.000 Bohr magnetons per cell
**Space-group type**: P4/mbm, No. 127
**Theoretical density**: 8.4 g cm⁻³
**Calculated volume**: 249.5 Å³/cell

a b c (Å): 7.788 7.788 4.115
angles (deg): 90.00 90.00 90.00
Fractional coordinates of all 10 atoms:
Zr1 0.849 0.651 0.000
Sn1 0.649 0.851 0.500
Bi1 0.000 0.000 0.000
Zr2 0.651 0.151 0.000
Bi2 0.500 0.500 0.000
Zr3 0.349 0.849 0.000
Zr4 0.151 0.349 0.000
Sn2 0.351 0.149 0.500
Sn3 0.851 0.351 0.500
Sn4 0.149 0.649 0.500

Q: What are the energies relative to the best structure? A: #P 159; #Q 0, in meV/atom.

#P
Zr2SnBi2: optimized geometry, PBE-GGA.

Values from the calculation:
**DOS(E_F)**: 6.9 states/eV/cell
**Magnetization**: 0.000 Bohr magnetons per cell
**Space-group type**: P4/mbm, No. 127
**Theoretical density**: 8.9 g cm⁻³
**Calculated volume**: 268.0 Å³/cell

a b c (Å): 8.415 8.415 3.784
angles (deg): 90.00 90.00 90.00
Fractional coordinates of all 10 atoms:
Bi1 0.349 0.849 0.000
Sn1 0.000 0.000 0.000
Zr1 0.639 0.861 0.500
Bi2 0.151 0.349 0.000
Bi3 0.849 0.651 0.000
Zr2 0.139 0.639 0.500
Zr3 0.861 0.361 0.500
Bi4 0.651 0.151 0.000
Zr4 0.361 0.139 0.500
Sn2 0.500 0.500 0.000

#Q
Zr2SnBi2: optimized geometry, PBE-GGA.

Values from the calculation:
**DOS(E_F)**: 6.3 states/eV/cell
**Magnetization**: 0.000 Bohr magnetons per cell
**Space-group type**: P4/mbm, No. 127
**Theoretical density**: 9.2 g cm⁻³
**Calculated volume**: 258.5 Å³/cell

a b c (Å): 7.960 7.960 4.080
angles (deg): 90.00 90.00 90.00
Fractional coordinates of all 10 atoms:
Zr1 0.852 0.648 0.000
Bi1 0.152 0.652 0.500
Sn1 0.000 0.000 0.000
Bi2 0.652 0.848 0.500
Sn2 0.500 0.500 0.000
Zr2 0.648 0.148 0.000
Bi3 0.348 0.152 0.500
Bi4 0.848 0.348 0.500
Zr3 0.352 0.852 0.000
Zr4 0.148 0.352 0.000

Q: What are the energies relative to the best structure? A: #P 233; #Q 0, in meV/atom.

#P
Zr5SnBi2: optimized geometry, PBE-GGA.

Values from the calculation:
**DOS(E_F)**: 6.9 states/eV/cell
**Magnetization**: 0.000 Bohr magnetons per cell
**Space-group type**: Cm, No. 8
**Theoretical density**: 8.8 g cm⁻³
**Calculated volume**: 186.9 Å³/cell

a b c (Å): 7.007 7.007 6.249
angles (deg): 124.12 124.12 89.97
Fractional coordinates of all 8 atoms:
Bi1 0.727 0.227 0.454
Sn1 0.178 0.178 0.355
Zr1 0.759 0.759 0.516
Zr2 0.702 0.702 0.943
Zr3 0.242 0.242 0.944
Zr4 0.702 0.242 0.944
Bi2 0.227 0.727 0.454
Zr5 0.242 0.702 0.943

#Q
Zr5SnBi2: optimized geometry, PBE-GGA.

Values from the calculation:
**DOS(E_F)**: 13.2 states/eV/cell
**Magnetization**: 0.000 Bohr magnetons per cell
**Space-group type**: Pbam, No. 55
**Theoretical density**: 8.8 g cm⁻³
**Calculated volume**: 373.9 Å³/cell

a b c (Å): 5.040 6.226 11.916
angles (deg): 90.00 90.00 90.00
Fractional coordinates of all 16 atoms:
Zr1 0.500 0.346 0.602
Zr2 0.500 0.154 0.102
Bi1 0.500 0.141 0.357
Sn1 0.000 0.500 0.500
Bi2 0.500 0.359 0.857
Bi3 0.500 0.859 0.643
Zr3 0.500 0.846 0.898
Zr4 0.000 0.644 0.760
Sn2 0.000 0.000 0.000
Zr5 0.000 0.000 0.500
Zr6 0.000 0.500 0.000
Zr7 0.000 0.144 0.740
Zr8 0.000 0.856 0.260
Zr9 0.500 0.654 0.398
Zr10 0.000 0.356 0.240
Bi4 0.500 0.641 0.143

Q: What are the energies relative to the best structure? A: #P 76; #Q 0, in meV/atom.

#P
ZrSnBi: optimized geometry, PBE-GGA.

Values from the calculation:
**DOS(E_F)**: 2.4 states/eV/cell
**Magnetization**: 0.000 Bohr magnetons per cell
**Space-group type**: P3m1, No. 156
**Theoretical density**: 8.9 g cm⁻³
**Calculated volume**: 78.0 Å³/cell

a b c (Å): 3.221 5.286 5.286
angles (deg): 120.00 90.00 90.00
Fractional coordinates of all 3 atoms:
Zr1 0.193 0.333 0.667
Sn1 0.124 0.000 0.000
Bi1 0.682 0.667 0.333

#Q
ZrSnBi: optimized geometry, PBE-GGA.

Values from the calculation:
**DOS(E_F)**: 3.4 states/eV/cell
**Magnetization**: 0.000 Bohr magnetons per cell
**Space-group type**: Immm, No. 71
**Theoretical density**: 8.5 g cm⁻³
**Calculated volume**: 163.0 Å³/cell

a b c (Å): 5.774 3.185 9.456
angles (deg): 99.70 107.78 90.00
Fractional coordinates of all 6 atoms:
Bi1 0.249 0.500 0.000
Zr1 0.165 0.665 0.330
Zr2 0.835 0.335 0.670
Bi2 0.751 0.500 0.000
Sn1 0.334 0.834 0.667
Sn2 0.666 0.166 0.333

Q: What are the energies relative to the best structure? A: #P 0; #Q 97, in meV/atom.

#P
Zr6SnBi: optimized geometry, PBE-GGA.

Values from the calculation:
**DOS(E_F)**: 6.8 states/eV/cell
**Magnetization**: 0.000 Bohr magnetons per cell
**Space-group type**: Amm2, No. 38
**Theoretical density**: 8.0 g cm⁻³
**Calculated volume**: 182.7 Å³/cell

a b c (Å): 5.216 6.188 6.188
angles (deg): 113.85 90.00 90.00
Fractional coordinates of all 8 atoms:
Bi1 0.000 0.081 0.919
Sn1 0.500 0.418 0.582
Zr1 0.500 0.880 0.120
Zr2 0.500 0.921 0.615
Zr3 0.000 0.119 0.424
Zr4 0.500 0.385 0.079
Zr5 0.000 0.620 0.380
Zr6 0.000 0.576 0.881

#Q
Zr6SnBi: optimized geometry, PBE-GGA.

Values from the calculation:
**DOS(E_F)**: 12.6 states/eV/cell
**Magnetization**: 0.000 Bohr magnetons per cell
**Space-group type**: R-3, No. 148
**Theoretical density**: 8.0 g cm⁻³
**Calculated volume**: 182.6 Å³/cell

a b c (Å): 8.039 8.040 5.674
angles (deg): 44.89 44.88 59.98
Fractional coordinates of all 8 atoms:
Zr1 0.498 0.753 0.748
Sn1 0.000 0.000 0.000
Zr2 0.753 0.001 0.748
Zr3 0.502 0.247 0.252
Zr4 0.000 0.501 0.252
Zr5 0.000 0.499 0.748
Bi1 0.500 0.500 0.500
Zr6 0.247 0.999 0.252

Q: What are the energies relative to the best structure? A: #P 0; #Q 8, in meV/atom.

#P
Sr4Bi11: optimized geometry, PBE-GGA.

Values from the calculation:
**DOS(E_F)**: 6.6 states/eV/cell
**Magnetization**: 0.000 Bohr magnetons per cell
**Space-group type**: P-1, No. 2
**Theoretical density**: 8.3 g cm⁻³
**Calculated volume**: 528.3 Å³/cell

a b c (Å): 6.912 8.857 12.435
angles (deg): 49.37 71.22 88.64
Fractional coordinates of all 15 atoms:
Bi1 0.768 0.892 0.637
Bi2 0.578 0.348 0.402
Bi3 0.658 0.666 0.036
Sr1 0.823 0.171 0.228
Bi4 0.342 0.334 0.964
Sr2 0.599 0.174 0.764
Bi5 0.422 0.652 0.598
Bi6 0.846 0.434 0.844
Bi7 0.154 0.566 0.156
Bi8 0.150 0.344 0.618
Sr3 0.177 0.829 0.772
Bi9 0.000 0.000 0.000
Sr4 0.401 0.826 0.236
Bi10 0.232 0.108 0.363
Bi11 0.850 0.656 0.382

#Q
Sr4Bi11: optimized geometry, PBE-GGA.

Values from the calculation:
**DOS(E_F)**: 6.9 states/eV/cell
**Magnetization**: 0.000 Bohr magnetons per cell
**Space-group type**: P-1, No. 2
**Theoretical density**: 8.5 g cm⁻³
**Calculated volume**: 519.9 Å³/cell

a b c (Å): 6.613 8.807 11.901
angles (deg): 50.75 77.80 88.11
Fractional coordinates of all 15 atoms:
Sr1 0.184 0.824 0.798
Bi1 0.160 0.353 0.616
Bi2 0.384 0.339 0.997
Sr2 0.624 0.191 0.768
Sr3 0.376 0.809 0.232
Bi3 0.231 0.068 0.379
Bi4 0.840 0.647 0.384
Bi5 0.769 0.932 0.621
Bi6 0.000 0.000 0.000
Bi7 0.906 0.478 0.807
Sr4 0.816 0.176 0.202
Bi8 0.556 0.337 0.395
Bi9 0.094 0.522 0.193
Bi10 0.444 0.663 0.605
Bi11 0.616 0.661 0.003

Q: What are the energies relative to the best structure? A: #P 8; #Q 0, in meV/atom.

#P
Sr3Bi: optimized geometry, PBE-GGA.

Values from the calculation:
**DOS(E_F)**: 3.8 states/eV/cell
**Magnetization**: 0.002 Bohr magnetons per cell
**Space-group type**: Pmm2, No. 25
**Theoretical density**: 4.0 g cm⁻³
**Calculated volume**: 195.7 Å³/cell

a b c (Å): 4.718 4.717 8.793
angles (deg): 90.00 90.00 90.00
Fractional coordinates of all 4 atoms:
Sr1 0.500 0.500 0.084
Sr2 0.500 0.000 0.740
Sr3 0.000 0.500 0.427
Bi1 0.000 0.000 0.083

#Q
Sr3Bi: optimized geometry, PBE-GGA.

Values from the calculation:
**DOS(E_F)**: 6.6 states/eV/cell
**Magnetization**: 0.000 Bohr magnetons per cell
**Space-group type**: P6_3/mmc, No. 194
**Theoretical density**: 4.8 g cm⁻³
**Calculated volume**: 327.2 Å³/cell

a b c (Å): 7.763 7.763 6.270
angles (deg): 90.00 90.00 120.00
Fractional coordinates of all 8 atoms:
Sr1 0.171 0.342 0.250
Bi1 0.667 0.333 0.250
Bi2 0.333 0.667 0.750
Sr2 0.829 0.658 0.750
Sr3 0.658 0.829 0.250
Sr4 0.829 0.171 0.750
Sr5 0.171 0.829 0.250
Sr6 0.342 0.171 0.750

#R
Sr3Bi: optimized geometry, PBE-GGA.

Values from the calculation:
**DOS(E_F)**: 3.8 states/eV/cell
**Magnetization**: 0.012 Bohr magnetons per cell
**Space-group type**: Immm, No. 71
**Theoretical density**: 4.5 g cm⁻³
**Calculated volume**: 175.8 Å³/cell

a b c (Å): 4.568 5.945 7.479
angles (deg): 113.42 107.78 90.00
Fractional coordinates of all 4 atoms:
Bi1 0.000 0.917 0.000
Sr1 0.699 0.116 0.398
Sr2 0.500 0.417 0.000
Sr3 0.301 0.718 0.602

#S
Sr3Bi: optimized geometry, PBE-GGA.

Values from the calculation:
**DOS(E_F)**: 2.6 states/eV/cell
**Magnetization**: 0.000 Bohr magnetons per cell
**Space-group type**: Pm-3m, No. 221
**Theoretical density**: 4.8 g cm⁻³
**Calculated volume**: 161.8 Å³/cell

a b c (Å): 5.450 5.450 5.450
angles (deg): 90.00 90.00 90.00
Fractional coordinates of all 4 atoms:
Sr1 0.000 0.500 0.500
Bi1 0.000 0.000 0.000
Sr2 0.500 0.500 0.000
Sr3 0.500 0.000 0.500

Q: What are the energies relative to the best structure? A: #P 121; #Q 29; #R 0; #S 8, in meV/atom.

#P
SrTaBi2: optimized geometry, PBE-GGA.

Values from the calculation:
**DOS(E_F)**: 8.7 states/eV/cell
**Magnetization**: 0.777 Bohr magnetons per cell
**Space-group type**: I-42d, No. 122
**Theoretical density**: 8.9 g cm⁻³
**Calculated volume**: 256.4 Å³/cell

a b c (Å): 8.371 8.371 6.959
angles (deg): 53.03 53.03 90.00
Fractional coordinates of all 8 atoms:
Sr1 0.250 0.750 0.500
Bi1 0.375 0.327 0.750
Bi2 0.077 0.625 0.250
Ta1 0.000 0.000 0.000
Sr2 0.500 0.500 0.000
Bi3 0.673 0.125 0.250
Bi4 0.875 0.923 0.750
Ta2 0.750 0.250 0.500

#Q
SrTaBi2: optimized geometry, PBE-GGA.

Values from the calculation:
**DOS(E_F)**: 2.7 states/eV/cell
**Magnetization**: 1.746 Bohr magnetons per cell
**Space-group type**: Fm-3m, No. 225
**Theoretical density**: 10.4 g cm⁻³
**Calculated volume**: 109.5 Å³/cell

a b c (Å): 5.370 5.370 5.370
angles (deg): 60.00 60.00 60.00
Fractional coordinates of all 4 atoms:
Sr1 0.000 0.000 0.000
Bi1 0.750 0.750 0.750
Bi2 0.250 0.250 0.250
Ta1 0.500 0.500 0.500

Q: What are the energies relative to the best structure? A: #P 27; #Q 0, in meV/atom.

#P
Sr3TaBi: optimized geometry, PBE-GGA.

Values from the calculation:
**DOS(E_F)**: 7.0 states/eV/cell
**Magnetization**: 0.000 Bohr magnetons per cell
**Space-group type**: Pm-3m, No. 221
**Theoretical density**: 5.4 g cm⁻³
**Calculated volume**: 199.7 Å³/cell

a b c (Å): 5.845 5.845 5.845
angles (deg): 90.00 90.00 90.00
Fractional coordinates of all 5 atoms:
Sr1 0.000 0.000 0.500
Ta1 0.000 0.000 0.000
Sr2 0.500 0.000 0.000
Sr3 0.000 0.500 0.000
Bi1 0.500 0.500 0.500

#Q
Sr3TaBi: optimized geometry, PBE-GGA.

Values from the calculation:
**DOS(E_F)**: 1.2 states/eV/cell
**Magnetization**: 5.795 Bohr magnetons per cell
**Space-group type**: Pm-3m, No. 221
**Theoretical density**: 4.4 g cm⁻³
**Calculated volume**: 245.5 Å³/cell

a b c (Å): 6.262 6.262 6.262
angles (deg): 90.00 90.00 90.00
Fractional coordinates of all 5 atoms:
Ta1 0.500 0.500 0.500
Sr1 0.000 0.500 0.000
Bi1 0.000 0.000 0.000
Sr2 0.500 0.000 0.000
Sr3 0.000 0.000 0.500

Q: What are the energies relative to the best structure? A: #P 16; #Q 0, in meV/atom.

#P
SrTbBi2: optimized geometry, PBE-GGA.

Values from the calculation:
**DOS(E_F)**: 3.7 states/eV/cell
**Magnetization**: 0.000 Bohr magnetons per cell
**Space-group type**: R3m, No. 160
**Theoretical density**: 7.4 g cm⁻³
**Calculated volume**: 148.8 Å³/cell

a b c (Å): 4.770 4.770 8.039
angles (deg): 72.74 72.74 60.00
Fractional coordinates of all 4 atoms:
Tb1 0.497 0.497 0.509
Bi1 0.091 0.091 0.726
Bi2 0.242 0.242 0.273
Sr1 0.669 0.669 0.992

#Q
SrTbBi2: optimized geometry, PBE-GGA.

Values from the calculation:
**DOS(E_F)**: 1.9 states/eV/cell
**Magnetization**: 0.141 Bohr magnetons per cell
**Space-group type**: P4/mmm, No. 123
**Theoretical density**: 8.6 g cm⁻³
**Calculated volume**: 128.2 Å³/cell

a b c (Å): 3.523 6.032 6.032
angles (deg): 90.00 90.00 90.00
Fractional coordinates of all 4 atoms:
Sr1 0.500 0.500 0.500
Bi1 0.000 0.500 0.000
Tb1 0.500 0.000 0.000
Bi2 0.000 0.000 0.500

#R
SrTbBi2: optimized geometry, PBE-GGA.

Values from the calculation:
**DOS(E_F)**: 2.4 states/eV/cell
**Magnetization**: 0.000 Bohr magnetons per cell
**Space-group type**: C2/m, No. 12
**Theoretical density**: 7.7 g cm⁻³
**Calculated volume**: 143.2 Å³/cell

a b c (Å): 4.524 4.524 8.477
angles (deg): 74.43 74.43 60.31
Fractional coordinates of all 4 atoms:
Tb1 0.000 0.000 0.000
Bi1 0.743 0.743 0.773
Sr1 0.500 0.500 0.500
Bi2 0.257 0.257 0.227

Q: What are the energies relative to the best structure? A: #P 87; #Q 102; #R 0, in meV/atom.

#P
Sr2BiTe: optimized geometry, PBE-GGA.

Values from the calculation:
**DOS(E_F)**: 2.0 states/eV/cell
**Magnetization**: 0.000 Bohr magnetons per cell
**Space-group type**: R3m, No. 160
**Theoretical density**: 5.4 g cm⁻³
**Calculated volume**: 156.3 Å³/cell

a b c (Å): 4.521 4.521 9.208
angles (deg): 75.79 75.79 60.00
Fractional coordinates of all 4 atoms:
Sr1 0.088 0.088 0.737
Te1 0.499 0.499 0.502
Sr2 0.246 0.246 0.263
Bi1 0.667 0.667 0.998

#Q
Sr2BiTe: optimized geometry, PBE-GGA.

Values from the calculation:
**DOS(E_F)**: 5.2 states/eV/cell
**Magnetization**: 0.000 Bohr magnetons per cell
**Space-group type**: Fm-3m, No. 225
**Theoretical density**: 6.1 g cm⁻³
**Calculated volume**: 140.3 Å³/cell

a b c (Å): 5.832 5.832 5.832
angles (deg): 60.00 60.00 60.00
Fractional coordinates of all 4 atoms:
Sr1 0.250 0.250 0.250
Te1 0.000 0.000 0.000
Bi1 0.500 0.500 0.500
Sr2 0.750 0.750 0.750

Q: What are the energies relative to the best structure? A: #P 0; #Q 103, in meV/atom.